[1]
DFT (PBE) results for K3Pu2MnSe6 after structural relaxation.

Properties
Total DFT energy (no corrections) = -76.66 eV for the cell shown
Raw formation energy = -1.22 eV/atom
ρ = 5.5 Mg/m³
Crystal system = monoclinic

The structure in POSCAR format:
```
K3Pu2MnSe6
1.0
3.6087 -6.2518 0.0000
3.6087 6.2518 0.0000
-2.4086 0.0000 7.6272
K Pu Mn Se
3 2 1 6
direct
0.0000 0.0000 0.0000 K
0.3324 0.6676 0.0000 K
0.6676 0.3324 0.0000 K
0.1666 0.8334 0.5000 Pu
0.8334 0.1666 0.5000 Pu
0.5000 0.5000 0.5000 Mn
0.1117 0.4338 0.3013 Se
0.2443 0.2443 0.6990 Se
0.4338 0.1117 0.3013 Se
0.5662 0.8883 0.6987 Se
0.7557 0.7557 0.3010 Se
0.8883 0.5662 0.6987 Se
```

[2]
DFT (PBE) results for CdW2Se after structural relaxation.

Properties
Total DFT energy (no corrections) = -26.36 eV for the cell shown
Raw formation energy = 0.99 eV/atom
ρ = 13.8 Mg/m³
Crystal system = cubic
Polymorph energy (0 for the lowest one) = 671 meV per atom

The structure in POSCAR format:
```
CdW2Se
1.0
0.0000 3.2280 3.2280
3.2280 0.0000 3.2280
3.2280 3.2280 0.0000
Cd W Se
1 2 1
direct
0.0000 0.0000 0.0000 Cd
0.2500 0.2500 0.2500 W
0.7500 0.7500 0.7500 W
0.5000 0.5000 0.5000 Se
```

[3]
DFT (PBE) results for Sr2MnCl after structural relaxation.

Properties
Total DFT energy (no corrections) = -13.54 eV for the cell shown
Raw formation energy = 0.21 eV/atom
ρ = 3.2 Mg/m³
Crystal system = cubic
Polymorph energy (0 for the lowest one) = 706 meV per atom

The structure in POSCAR format:
```
Sr2MnCl
1.0
0.0000 4.0995 4.0995
4.0995 0.0000 4.0995
4.0995 4.0995 0.0000
Sr Mn Cl
2 1 1
direct
0.0000 0.0000 0.0000 Sr
0.2500 0.2500 0.2500 Sr
0.7500 0.7500 0.7500 Mn
0.5000 0.5000 0.5000 Cl
```

[4]
DFT (PBE) results for BaU3Tl4O12 after structural relaxation.

Properties
Total DFT energy (no corrections) = -152.94 eV for the cell shown
Raw formation energy = -2.41 eV/atom
ρ = 8.6 Mg/m³
Crystal system = cubic

The structure in POSCAR format:
```
BaU3Tl4O12
1.0
-4.4798 4.4798 4.4798
4.4798 -4.4798 4.4798
4.4798 4.4798 -4.4798
Ba U Tl O
1 3 4 12
direct
0.0000 0.0000 0.0000 Ba
0.0000 0.5000 0.5000 U
0.5000 0.0000 0.5000 U
0.5000 0.5000 0.0000 U
0.0000 0.0000 0.5000 Tl
0.0000 0.5000 0.0000 Tl
0.5000 0.0000 0.0000 Tl
0.5000 0.5000 0.5000 Tl
0.0000 0.2855 0.2855 O
0.0000 0.7145 0.7145 O
0.2500 0.5000 0.7500 O
0.2500 0.7500 0.5000 O
0.2855 0.0000 0.2855 O
0.2855 0.2855 0.0000 O
0.5000 0.2500 0.7500 O
0.5000 0.7500 0.2500 O
0.7145 0.0000 0.7145 O
0.7145 0.7145 0.0000 O
0.7500 0.2500 0.5000 O
0.7500 0.5000 0.2500 O
```

[5]
DFT (PBE) results for Tl2W after structural relaxation.

Properties
Total DFT energy (no corrections) = -31.60 eV for the cell shown
ρ = 11.9 Mg/m³
Crystal system = orthorhombic
Polymorph energy (0 for the lowest one) = 0 meV per atom

The structure in POSCAR format:
```
Tl2W
1.0
1.5422 -13.1563 0.0000
1.5422 13.1563 0.0000
0.0000 0.0000 4.0910
Tl W
4 2
direct
0.0555 0.9445 0.7500 Tl
0.3485 0.6515 0.7500 Tl
0.6515 0.3485 0.2500 Tl
0.9445 0.0555 0.2500 Tl
0.2592 0.7408 0.2500 W
0.7408 0.2592 0.7500 W
```

[6]
DFT (PBE) results for Sm4YGa4 after structural relaxation.

Properties
Total DFT energy (no corrections) = -41.08 eV for the cell shown
ρ = 6.5 Mg/m³
Crystal system = tetragonal

The structure in POSCAR format:
```
Sm4YGa4
1.0
-5.1044 5.1044 2.3885
5.1044 -5.1044 2.3885
5.1044 5.1044 -2.3885
Sm Y Ga
4 1 4
direct
0.1322 0.6453 0.7775 Sm
0.3547 0.1322 0.4869 Sm
0.6453 0.8678 0.5131 Sm
0.8678 0.3547 0.2225 Sm
0.0000 0.0000 0.0000 Y
0.3306 0.4293 0.7599 Ga
0.4293 0.6694 0.0987 Ga
0.5707 0.3306 0.9013 Ga
0.6694 0.5707 0.2401 Ga
```

[7]
DFT (PBE) results for ErTm2Se after structural relaxation.

Properties
Total DFT energy (no corrections) = -79.10 eV for the cell shown
Raw formation energy = -0.70 eV/atom
ρ = 8.5 Mg/m³
Crystal system = orthorhombic
Polymorph energy (0 for the lowest one) = 93 meV per atom

The structure in POSCAR format:
```
ErTm2Se
1.0
6.4409 0.0000 0.0000
0.0000 6.4381 0.0000
0.0000 0.0000 11.0483
Er Tm Se
4 8 4
direct
0.0347 0.2500 0.2500 Er
0.4653 0.7500 0.2500 Er
0.5347 0.2500 0.7500 Er
0.9653 0.7500 0.7500 Er
0.0807 0.2104 0.5815 Tm
0.0807 0.2896 0.9185 Tm
0.4193 0.7104 0.9185 Tm
0.4193 0.7896 0.5815 Tm
0.5807 0.2104 0.4185 Tm
0.5807 0.2896 0.0815 Tm
0.9193 0.7104 0.0815 Tm
0.9193 0.7896 0.4185 Tm
0.2500 0.0000 0.0857 Se
0.2500 0.5000 0.4143 Se
0.7500 0.0000 0.9143 Se
0.7500 0.5000 0.5857 Se
```

[8]
DFT (PBE) results for AcCeSm4Se8 after structural relaxation.

Properties
Total DFT energy (no corrections) = -80.95 eV for the cell shown
Raw formation energy = -1.73 eV/atom
ρ = 5.7 Mg/m³
Crystal system = trigonal

The structure in POSCAR format:
```
AcCeSm4Se8
1.0
4.3507 2.5119 7.1404
-4.3507 2.5119 7.1404
0.0000 -5.0237 7.1404
Ac Ce Sm Se
1 1 4 8
direct
0.0000 0.0000 0.0000 Ac
0.6226 0.6226 0.6226 Ce
0.1321 0.6226 0.6226 Sm
0.2500 0.2500 0.2500 Sm
0.6226 0.1321 0.6226 Sm
0.6226 0.6226 0.1321 Sm
0.3783 0.3783 0.8569 Se
0.3783 0.8569 0.3783 Se
0.3815 0.3815 0.3815 Se
0.4139 0.8637 0.8637 Se
0.8569 0.3783 0.3783 Se
0.8619 0.8619 0.8619 Se
0.8637 0.4139 0.8637 Se
0.8637 0.8637 0.4139 Se
```

[9]
DFT (PBE) results for CsNdGe2Br8 after structural relaxation.

Properties
Total DFT energy (no corrections) = -42.41 eV for the cell shown
Raw formation energy = -1.18 eV/atom
ρ = 3.4 Mg/m³
Crystal system = triclinic

The structure in POSCAR format:
```
CsNdGe2Br8
1.0
6.7597 0.0000 0.0000
-0.7867 7.3503 0.0000
-0.2176 -0.8039 10.3787
Cs Nd Ge Br
1 1 2 8
direct
0.0000 0.0000 0.0000 Cs
0.0000 0.0000 0.5000 Nd
0.4435 0.5470 0.2950 Ge
0.5565 0.4530 0.7050 Ge
0.2317 0.6810 0.4769 Br
0.2330 0.1777 0.3087 Br
0.2537 0.6048 0.1025 Br
0.2747 0.1451 0.7125 Br
0.7253 0.8549 0.2875 Br
0.7463 0.3952 0.8975 Br
0.7670 0.8223 0.6913 Br
0.7683 0.3190 0.5231 Br
```

[10]
DFT (PBE) results for CsSi3Au after structural relaxation.

Properties
Total DFT energy (no corrections) = -16.12 eV for the cell shown
Raw formation energy = 0.86 eV/atom
ρ = 5.0 Mg/m³
Crystal system = cubic
Polymorph energy (0 for the lowest one) = 0 meV per atom

The structure in POSCAR format:
```
CsSi3Au
1.0
5.1527 0.0000 0.0000
0.0000 5.1527 0.0000
0.0000 0.0000 5.1527
Cs Si Au
1 3 1
direct
0.0000 0.0000 0.0000 Cs
0.0000 0.5000 0.5000 Si
0.5000 0.0000 0.5000 Si
0.5000 0.5000 0.0000 Si
0.5000 0.5000 0.5000 Au
```

[11]
DFT (PBE) results for SiTc2Pb after structural relaxation.

Properties
Total DFT energy (no corrections) = -28.98 eV for the cell shown
Raw formation energy = 0.22 eV/atom
ρ = 9.8 Mg/m³
Crystal system = tetragonal
Polymorph energy (0 for the lowest one) = 47 meV per atom

The structure in POSCAR format:
```
SiTc2Pb
1.0
2.9900 0.0000 0.0000
0.0000 2.9900 0.0000
0.0000 0.0000 8.1527
Si Tc Pb
1 2 1
direct
0.0000 0.0000 0.0000 Si
0.0000 0.0000 0.3739 Tc
0.5000 0.5000 0.1832 Tc
0.5000 0.5000 0.6531 Pb
```

[12]
DFT (PBE) results for KZnSnO4 after structural relaxation.

Properties
Total DFT energy (no corrections) = -34.83 eV for the cell shown
Raw formation energy = -1.23 eV/atom
ρ = 3.7 Mg/m³
Crystal system = tetragonal

The structure in POSCAR format:
```
KZnSnO4
1.0
-2.9486 2.9486 3.6640
2.9486 -2.9486 3.6640
2.9486 2.9486 -3.6640
K Zn Sn O
1 1 1 4
direct
0.0000 0.0000 0.0000 K
0.7500 0.2500 0.5000 Zn
0.5000 0.5000 0.0000 Sn
0.1137 0.2023 0.6099 O
0.4962 0.8863 0.0885 O
0.5923 0.5038 0.3901 O
0.7977 0.4077 0.9115 O
```

[13]
DFT (PBE) results for PmHfSc2 after structural relaxation.

Properties
Total DFT energy (no corrections) = -27.02 eV for the cell shown
ρ = 6.7 Mg/m³
Crystal system = trigonal
Polymorph energy (0 for the lowest one) = 0 meV per atom

The structure in POSCAR format:
```
PmHfSc2
1.0
1.6575 0.9569 10.8069
-1.6575 0.9569 10.8069
0.0000 -1.9139 10.8069
Pm Hf Sc
1 1 2
direct
0.0000 0.0000 0.0000 Pm
0.5000 0.5000 0.5000 Hf
0.2438 0.2438 0.2438 Sc
0.7562 0.7562 0.7562 Sc
```

[14]
DFT (PBE) results for Pr4Sm3Er4 after structural relaxation.

Properties
Total DFT energy (no corrections) = -49.85 eV for the cell shown
ρ = 7.5 Mg/m³
Crystal system = orthorhombic
Polymorph energy (0 for the lowest one) = 133 meV per atom

The structure in POSCAR format:
```
Pr4Sm3Er4
1.0
10.7989 0.0000 0.0000
0.0000 2.8720 6.0452
0.0000 -2.8720 6.0452
Pr Sm Er
4 3 4
direct
0.0000 0.0000 0.0000 Pr
0.2108 0.7938 0.7938 Pr
0.5000 0.9211 0.9211 Pr
0.7892 0.7938 0.7938 Pr
0.0000 0.2931 0.2931 Sm
0.2881 0.4520 0.4520 Sm
0.7119 0.4520 0.4520 Sm
0.0000 0.5948 0.5948 Er
0.3047 0.1450 0.1450 Er
0.5000 0.6477 0.6477 Er
0.6953 0.1450 0.1450 Er
```

[15]
DFT (PBE) results for DySi2IrRh2 after structural relaxation.

Properties
Total DFT energy (no corrections) = -41.17 eV for the cell shown
Raw formation energy = -0.36 eV/atom
ρ = 9.2 Mg/m³
Crystal system = tetragonal

The structure in POSCAR format:
```
DySi2IrRh2
1.0
4.4809 0.0000 0.0000
0.0000 4.4809 0.0000
0.0000 0.0000 5.5288
Dy Si Ir Rh
1 2 1 2
direct
0.0000 0.0000 0.0000 Dy
0.0000 0.5000 0.5000 Si
0.5000 0.0000 0.5000 Si
0.0000 0.0000 0.5000 Ir
0.5000 0.5000 0.2494 Rh
0.5000 0.5000 0.7506 Rh
```

[16]
DFT (PBE) results for NiAg2Pb after structural relaxation.

Properties
Total DFT energy (no corrections) = -14.25 eV for the cell shown
ρ = 10.3 Mg/m³
Crystal system = monoclinic

The structure in POSCAR format:
```
NiAg2Pb
1.0
4.8538 -1.6007 0.0000
4.8538 1.6007 0.0000
-3.1295 0.0000 4.9886
Ni Ag Pb
1 2 1
direct
0.0000 0.0000 0.0000 Ni
0.4652 0.4652 0.6064 Ag
0.6852 0.6852 0.4285 Ag
0.2810 0.2810 0.0038 Pb
```

[17]
DFT (PBE) results for CeSm2Re after structural relaxation.

Properties
Total DFT energy (no corrections) = -24.49 eV for the cell shown
ρ = 10.3 Mg/m³
Crystal system = trigonal

The structure in POSCAR format:
```
CeSm2Re
1.0
1.5932 0.9198 11.5180
-1.5932 0.9198 11.5180
0.0000 -1.8396 11.5180
Ce Sm Re
1 2 1
direct
0.0000 0.0000 0.0000 Ce
0.4211 0.4211 0.4211 Sm
0.5789 0.5789 0.5789 Sm
0.5000 0.5000 0.5000 Re
```

[18]
DFT (PBE) results for MgTl2Fe after structural relaxation.

Properties
Total DFT energy (no corrections) = -13.22 eV for the cell shown
ρ = 9.3 Mg/m³
Crystal system = monoclinic
Polymorph energy (0 for the lowest one) = 66 meV per atom

The structure in POSCAR format:
```
MgTl2Fe
1.0
4.6261 -1.6186 0.0000
4.6261 1.6186 0.0000
-1.2066 0.0000 5.8455
Mg Tl Fe
1 2 1
direct
0.0000 0.0000 0.0000 Mg
0.2425 0.2425 0.7311 Tl
0.7575 0.7575 0.2689 Tl
0.5000 0.5000 0.5000 Fe
```

[19]
DFT (PBE) results for Ho4PuIn5 after structural relaxation.

Properties
Total DFT energy (no corrections) = -50.20 eV for the cell shown
ρ = 9.4 Mg/m³
Crystal system = tetragonal

The structure in POSCAR format:
```
Ho4PuIn5
1.0
3.4253 0.0000 0.0000
0.0000 3.4253 0.0000
0.0000 0.0000 22.2906
Ho Pu In
4 1 5
direct
0.0000 0.0000 0.0984 Ho
0.0000 0.0000 0.2952 Ho
0.0000 0.0000 0.7048 Ho
0.0000 0.0000 0.9016 Ho
0.0000 0.0000 0.5000 Pu
0.5000 0.5000 0.0000 In
0.5000 0.5000 0.1970 In
0.5000 0.5000 0.3959 In
0.5000 0.5000 0.6041 In
0.5000 0.5000 0.8030 In
```

[20]
DFT (PBE) results for LaBeIr after structural relaxation.

Properties
Total DFT energy (no corrections) = -76.19 eV for the cell shown
ρ = 9.7 Mg/m³
Crystal system = monoclinic
Polymorph energy (0 for the lowest one) = 67 meV per atom

The structure in POSCAR format:
```
LaBeIr
1.0
5.7704 0.0000 0.0000
0.0000 5.6381 0.0000
-2.8678 0.0000 7.1736
La Be Ir
4 4 4
direct
0.1972 0.1215 0.3719 La
0.1972 0.3785 0.8719 La
0.8028 0.6215 0.1281 La
0.8028 0.8785 0.6281 La
0.3975 0.6192 0.2947 Be
0.3975 0.8808 0.7946 Be
0.6025 0.1192 0.2054 Be
0.6025 0.3808 0.7054 Be
0.2716 0.6346 0.5424 Ir
0.2716 0.8654 0.0424 Ir
0.7284 0.1346 0.9576 Ir
0.7284 0.3654 0.4576 Ir
```